(1)
The following is a DFT calculation (PBE) of Ag3HgSb after structural relaxation.

a b c (Å): 5.3302 5.3302 5.3302
angles (deg): 90.00 90.00 90.00
Last column: nearest neighbours and their distance in Å.
Atoms (fractional coordinates):
Ag 0.0000 0.5000 0.0000  2 Sb 2.67
Sb 0.0000 0.0000 0.0000  6 Ag 2.67
Hg 0.5000 0.5000 0.5000  12 Ag 3.77
Ag 0.0000 0.0000 0.5000  2 Sb 2.67
Ag 0.5000 0.0000 0.0000  2 Sb 2.67

Values from the calculation:
The space group is Pm-3m, No. 221. The calculation puts the raw formation energy at 0.267 eV/atom. As for the distance to the lowest polymorph of the same formula: 171.1 meV per atom.

=====

(2)
The following is a DFT calculation (PBE) of La2HoC2Cl2 after structural relaxation.

a b c (Å): 4.5722 4.5722 8.1274
angles (deg): 106.34 106.34 90.00
Last column: nearest neighbours and their distance in Å.
Atoms (fractional coordinates):
Ho 0.0000 0.0000 0.0000  4 C 2.29
Cl 0.1901 0.1901 0.3801  1 Ho 2.83, 1 La 3.05
C 0.5000 0.0000 0.0000  2 Ho 2.29
C 0.0000 0.5000 0.0000  2 Ho 2.29
La 0.6052 0.6052 0.2104  4 C 2.77, 1 Cl 3.05
La 0.3948 0.3948 0.7896  4 C 2.77, 1 Cl 3.05
Cl 0.8099 0.8099 0.6199  1 Ho 2.83, 1 La 3.05

Values from the calculation:
The space group is I4/mmm, No. 139. The calculation puts the raw formation energy at -0.901 eV/atom.

=====

(3)
The following is a DFT calculation (PBE) of Nd3S3Cl2 after structural relaxation.

a b c (Å): 3.7862 4.4621 11.1498
angles (deg): 101.54 99.78 90.00
Last column: nearest neighbours and their distance in Å.
Atoms (fractional coordinates):
Cl 0.2441 0.7441 0.4881  4 Nd 2.88-2.94, 4 Cl 2.94
S 0.5000 0.0000 0.0000  4 Nd 2.93
Nd 0.8452 0.8452 0.6904  4 Cl 2.88-2.94, 4 S 3.05
S 0.6152 0.6152 0.2304  6 Nd 3.05-3.12, 2 S 3.34, 2 Cl 3.36
Nd 0.1548 0.1548 0.3096  4 Cl 2.88-2.94, 4 S 3.05
Nd 0.0000 0.5000 0.0000  8 S 2.93-3.12
S 0.3848 0.3848 0.7696  6 Nd 3.05-3.12, 2 S 3.34, 2 Cl 3.36
Cl 0.7559 0.2559 0.5119  4 Nd 2.88-2.94, 4 Cl 2.94

Values from the calculation:
The space group is Immm, No. 71. The calculation puts the raw formation energy at -1.843 eV/atom.

=====

(4)
The following is a DFT calculation (PBE) of CdIn2Ge after structural relaxation.

a b c (Å): 4.5932 4.5563 4.5563
angles (deg): 90.00 90.00 90.00
Last column: nearest neighbours and their distance in Å.
Atoms (fractional coordinates):
Cd 0.5000 0.5000 0.5000  4 Ge 3.22, 8 In 3.23
Ge 0.5000 0.0000 0.0000  4 Cd 3.22, 8 In 3.23
In 0.0000 0.0000 0.5000  4 In 3.22, 4 Cd 3.23, 4 Ge 3.23
In 0.0000 0.5000 0.0000  4 In 3.22, 4 Ge 3.23, 4 Cd 3.23

Values from the calculation:
The space group is P4/mmm, No. 123. The calculation puts the energy of formation at 136 meV per atom.